# 1
LiTi2Zn PBE optimized geometry; final energy = -4.4182 eV per atom; ΔH_f (0 K) = 0.33 eV/atom; total moment = 0.000 Bohr magnetons per cell; calculated volume = 15.987 Å³ per atom; space group = I-42d, No. 122
1.0
7.221 0.000 0.000
0.000 7.221 0.000
3.611 3.611 2.452
Zn Li Ti
2 2 4
Direct
0.000 0.000 0.000
0.750 0.250 0.500
0.500 0.500 0.000
0.250 0.750 0.500
0.623 0.125 0.250
0.127 0.625 0.250
0.375 0.377 0.750
0.875 0.873 0.750

---

# 2
InCu2Au2 PBE optimized geometry; final energy = -3.5484 eV per atom; ΔH_f (0 K) = -0.05 eV/atom; relative energy among the computed polymorphs = 0 meV/atom; total moment = 0.000 Bohr magnetons per cell; calculated volume = 16.473 Å³ per atom; space group = C2/m, No. 12
1.0
-1.764 -3.905 -0.245
3.030 -3.592 -2.164
0.072 -2.632 3.843
In Cu Au
1 2 2
Direct
0.500 0.500 0.000
0.688 0.727 0.397
0.312 0.273 0.603
0.071 0.141 0.218
0.929 0.859 0.782

---

# 3
Ba4Ta3 PBE optimized geometry; final energy = -5.1570 eV per atom; ΔH_f (0 K) = 1.02 eV/atom; relative energy among the computed polymorphs = 237 meV/atom; total moment = 0.000 Bohr magnetons per cell; calculated volume = 33.273 Å³ per atom; space group = P6/mmm, No. 191
1.0
2.878 -4.984 0.000
2.878 4.984 0.000
0.000 0.000 8.120
Ba Ta
4 3
Direct
0.000 0.000 0.245
0.000 0.000 0.755
0.667 0.333 0.500
0.333 0.667 0.500
0.000 0.500 0.000
0.500 0.500 0.000
0.500 0.000 0.000

---

# 4
Pm7Dy6Tm16 PBE optimized geometry; final energy = -4.3726 eV per atom; ΔH_f (0 K) = 0.19 eV/atom; total moment = 0.000 Bohr magnetons per cell; calculated volume = 32.203 Å³ per atom; space group = Fm-3m, No. 225
1.0
9.502 0.000 5.486
3.167 8.958 5.486
0.000 0.000 10.972
Pm Dy Tm
7 6 16
Direct
0.000 0.000 0.000
0.500 0.000 0.500
0.000 0.500 0.000
0.000 0.500 0.500
0.500 0.000 0.000
0.000 0.000 0.500
0.500 0.500 0.000
0.225 0.775 0.225
0.775 0.225 0.775
0.775 0.225 0.225
0.225 0.775 0.775
0.775 0.775 0.225
0.225 0.225 0.775
0.851 0.851 0.447
0.851 0.851 0.851
0.851 0.447 0.851
0.447 0.851 0.851
0.149 0.149 0.149
0.149 0.149 0.553
0.149 0.553 0.149
0.553 0.149 0.149
0.614 0.614 0.159
0.614 0.614 0.614
0.614 0.159 0.614
0.159 0.614 0.614
0.386 0.386 0.386
0.386 0.386 0.841
0.386 0.841 0.386
0.841 0.386 0.386

---

# 5
Ba2ZnAgN PBE optimized geometry; final energy = -3.4627 eV per atom; relative energy among the computed polymorphs = 88 meV/atom; formation energy from raw total energies = -0.2035 eV per atom; total moment = 0.000 Bohr magnetons per cell; calculated volume = 27.004 Å³ per atom; space group = P4/mmm, No. 123
1.0
-1.153 4.044 4.083
0.073 -4.154 4.135
3.853 0.580 0.514
Zn Ba Ag N
1 2 1 1
Direct
0.000 0.000 0.500
0.000 0.500 0.000
0.500 0.000 0.000
0.500 0.500 0.500
0.000 0.000 0.000

---

# 6
TaAuSe2 PBE optimized geometry; final energy = -5.9448 eV per atom; relative energy among the computed polymorphs = 0 meV/atom; formation energy from raw total energies = -0.4201 eV per atom; total moment = 0.000 Bohr magnetons per cell; calculated volume = 21.546 Å³ per atom; space group = R-3m, No. 166
1.0
-8.593 0.126 1.001
-7.524 0.835 4.190
-7.758 3.349 1.858
Au Se Ta
1 2 1
Direct
0.000 0.000 0.000
0.900 0.900 0.900
0.100 0.100 0.100
0.500 0.500 0.500

---

# 7
SmSi2Ru PBE optimized geometry; final energy = -7.0241 eV per atom; formation energy from raw total energies = -0.8138 eV per atom; total moment = 0.000 Bohr magnetons per cell; calculated volume = 18.091 Å³ per atom; space group = Pnma, No. 62
1.0
-3.984 0.696 -0.020
-0.521 -3.161 -6.330
-1.571 -8.862 4.555
Sm Si Ru
4 8 4
Direct
0.750 0.650 0.375
0.750 0.150 0.125
0.250 0.350 0.625
0.250 0.850 0.875
0.750 0.691 0.076
0.250 0.309 0.924
0.750 0.191 0.424
0.250 0.809 0.576
0.750 0.154 0.815
0.250 0.346 0.315
0.750 0.654 0.685
0.250 0.846 0.185
0.250 0.013 0.389
0.750 0.987 0.611
0.250 0.513 0.111
0.750 0.487 0.889

---

# 8
Th2AlPb PBE optimized geometry; final energy = -5.8556 eV per atom; ΔH_f (0 K) = -0.28 eV/atom; relative energy among the computed polymorphs = 0 meV/atom; total moment = 0.000 Bohr magnetons per cell; calculated volume = 27.790 Å³ per atom; space group = P4/mmm, No. 123
1.0
-2.294 -0.067 -2.617
0.025 -3.479 0.067
-6.903 0.067 6.049
Pb Al Th
1 1 2
Direct
0.500 0.500 0.500
0.500 0.500 0.000
0.000 0.000 0.774
0.000 0.000 0.226

---

# 9
TlHPd2 PBE optimized geometry; final energy = -3.6386 eV per atom; relative energy among the computed polymorphs = 524 meV/atom; total moment = 0.000 Bohr magnetons per cell; calculated volume = 15.824 Å³ per atom; space group = Fm-3m, No. 225
1.0
2.650 -3.603 -0.076
-1.531 -3.868 -1.645
1.560 -1.547 -3.897
H Tl Pd
1 1 2
Direct
0.000 0.000 0.000
0.500 0.500 0.500
0.250 0.250 0.250
0.750 0.750 0.750

---

# 10
SrFeHgOs2 PBE optimized geometry; final energy = -3.1903 eV per atom; ΔH_f (0 K) = 3.39 eV/atom; total moment = 2.132 Bohr magnetons per cell; calculated volume = 26.332 Å³ per atom; space group = P4/mmm, No. 123
1.0
-3.674 0.887 3.151
-2.992 -3.853 -2.403
1.841 -3.357 3.091
Sr Os Hg Fe
1 2 1 1
Direct
0.000 0.000 0.000
0.000 0.000 0.500
0.500 0.000 0.000
0.000 0.500 0.000
0.500 0.500 0.500

---

# 11
La4SiSb PBE optimized geometry; final energy = -4.8010 eV per atom; relative energy among the computed polymorphs = 733 meV/atom; formation energy from raw total energies = 0.0749 eV per atom; total moment = 0.000 Bohr magnetons per cell; calculated volume = 30.248 Å³ per atom; space group = F-43m, No. 216
1.0
0.000 4.494 4.494
4.494 0.000 4.494
4.494 4.494 0.000
La Si Sb
4 1 1
Direct
0.876 0.375 0.375
0.375 0.375 0.876
0.375 0.876 0.375
0.375 0.375 0.375
0.000 0.000 0.000
0.750 0.750 0.750

---

# 12
Nb2CoB PBE optimized geometry; final energy = -8.2114 eV per atom; ΔH_f (0 K) = 0.27 eV/atom; total moment = 0.000 Bohr magnetons per cell; calculated volume = 14.086 Å³ per atom; space group = I-42d, No. 122
1.0
-0.356 4.827 4.209
-4.586 2.751 -3.542
-4.380 2.420 1.742
Nb B Co
4 2 2
Direct
0.603 0.125 0.250
0.147 0.625 0.250
0.375 0.397 0.750
0.875 0.853 0.750
0.500 0.500 0.000
0.250 0.750 0.500
0.000 0.000 0.000
0.750 0.250 0.500

---

# 13
TlCrCl PBE optimized geometry; final energy = -4.5080 eV per atom; relative energy among the computed polymorphs = 123 meV/atom; formation energy from raw total energies = 0.1041 eV per atom; total moment = 4.442 Bohr magnetons per cell; calculated volume = 25.211 Å³ per atom; space group = P-6m2, No. 187
1.0
-0.014 -4.039 1.528
1.359 0.782 -4.024
4.366 0.586 1.589
Cr Tl Cl
1 1 1
Direct
0.667 0.333 0.167
0.333 0.667 0.667
0.000 0.000 0.167